Density functional theory data (SCAN) for Te7As5I at its PBEsol-relaxed geometry.

Values from the calculation:
Its calculated density is 6.33 g cm⁻³. For the calculated volume, the calculation gives 366.10 Å³/cell. Its total magnetization is 0.00 μB per cell. Its symmetry is Cm. The calculation puts the uncorrected formation energy at 0.02 eV/atom.

a b c (Å): 7.3055 7.3055 13.7174
angles (deg): 107.59 107.59 31.78
Closest atoms and distances in Å follow each position.
Positions (direct):
Te (0.0000, 0.0000, 0.0000)  3 As 2.72-2.86
Te (0.0404, 0.0404, 0.7162)  3 As 2.72-2.88
Te (0.3078, 0.3078, 0.7766)  3 As 2.72-2.93
Te (0.4288, 0.4288, 0.1797)  3 As 2.72-3.03
Te (0.6085, 0.6085, 0.5218)  2 As 2.73
Te (0.6914, 0.6914, 0.2366)  3 As 2.72-2.94
Te (0.7326, 0.7326, 0.9522)  3 As 2.76-2.81
As (0.1414, 0.1414, 0.4012)  2 Te 2.73, 1 I 2.77
As (0.2029, 0.2029, 0.0837)  6 Te 2.72-3.03
As (0.5270, 0.5270, 0.8619)  6 Te 2.76-2.93
As (0.8366, 0.8366, 0.6539)  3 Te 2.72
As (0.8953, 0.8953, 0.2991)  3 Te 2.72
I (0.3491, 0.3491, 0.4743)  1 As 2.77